DFT (PBEsol) results for an optimized crystal structure of IrRu.

Computed properties:
ΔH_f (0 K)   -0.0309 eV/atom
Total DFT energy (no corrections)   -10.0288 eV/atom
Polymorph energy (0 for the lowest one)   19 meV per atom
Space group   P-6m2
Total magnetization   0.0 μB/f.u.

a = 2.7080 Å, b = 2.7080 Å, c = 4.3073 Å
α = 90.00°, β = 90.00°, γ = 120.00°
Closest atoms and distances in Å follow each position.
Fractional coordinates of all 2 atoms:
Ir 0.0000 0.0000 0.0000  6 Ru 2.66, 6 Ir 2.71
Ru 0.3333 0.6667 0.5000  6 Ir 2.66, 6 Ru 2.71


DFT (PBEsol) results for an optimized crystal structure of LiYTl2.

Computed properties:
ΔH_f (0 K)   -0.3932 eV/atom
Total DFT energy (no corrections)   -3.9055 eV/atom
Space group   Fm-3m
Total magnetization   0.0 μB/f.u.

a = 5.1018 Å, b = 5.1018 Å, c = 5.1018 Å
α = 60.00°, β = 60.00°, γ = 60.00°
Closest atoms and distances in Å follow each position.
Fractional coordinates of all 4 atoms:
Li 0.0000 0.0000 0.0000  8 Tl 3.12
Y 0.5000 0.5000 0.5000  8 Tl 3.12
Tl 0.2500 0.2500 0.2500  4 Y 3.12, 4 Li 3.12
Tl 0.7500 0.7500 0.7500  4 Li 3.12, 4 Y 3.12


DFT (PBEsol) results for an optimized crystal structure of MoRhSe2.

Computed properties:
Formation energy from raw total energies   -0.12 eV/atom
Total DFT energy (no corrections)   -7.0198 eV/atom
Space group   R-3m
Total magnetization   0.0 μB/f.u.

a = 8.3814 Å, b = 8.3814 Å, c = 8.3814 Å
α = 21.41°, β = 21.41°, γ = 21.41°
Closest atoms and distances in Å follow each position.
Fractional coordinates of all 4 atoms:
Mo 0.0000 0.0000 0.0000  6 Se 2.51
Rh 0.5000 0.5000 0.5000  2 Se 2.34
Se 0.4049 0.4049 0.4049  1 Rh 2.34, 3 Mo 2.51
Se 0.5951 0.5951 0.5951  1 Rh 2.34, 3 Mo 2.51


DFT (PBEsol) results for an optimized crystal structure of Na2ZrSiO5.

Computed properties:
Formation energy from raw total energies   -2.74 eV/atom
Total DFT energy (no corrections)   -7.6191 eV/atom
Space group   P2_1/c
Total magnetization   0.0 μB/f.u.

a = 13.8719 Å, b = 5.4681 Å, c = 13.6974 Å
α = 90.00°, β = 119.29°, γ = 90.00°
Closest atoms and distances in Å follow each position.
Fractional coordinates of all 72 atoms:
Na 0.0762 0.2344 0.1462  5 O 2.34-2.60
Na 0.0762 0.2656 0.6462  5 O 2.34-2.60
Na 0.1797 0.7385 0.8282  5 O 2.38-2.56
Na 0.1797 0.7615 0.3282  5 O 2.38-2.56
Na 0.3193 0.2434 0.1491  4 O 2.38-2.48
Na 0.3193 0.2566 0.6491  4 O 2.38-2.48
Na 0.4215 0.7343 0.0683  5 O 2.36-2.55
Na 0.4215 0.7657 0.5683  5 O 2.36-2.55
Na 0.5785 0.2343 0.4317  5 O 2.36-2.55
Na 0.5785 0.2657 0.9317  5 O 2.36-2.55
Na 0.6807 0.7434 0.3509  4 O 2.38-2.48
Na 0.6807 0.7566 0.8509  4 O 2.38-2.48
Na 0.8203 0.2385 0.6718  5 O 2.38-2.56
Na 0.8203 0.2615 0.1718  5 O 2.38-2.56
Na 0.9238 0.7344 0.3538  5 O 2.34-2.60
Na 0.9238 0.7656 0.8538  5 O 2.34-2.60
Zr 0.0650 0.2357 0.8721  6 O 2.01-2.15
Zr 0.0650 0.2643 0.3721  6 O 2.01-2.15
Zr 0.4351 0.7384 0.8068  6 O 2.01-2.16
Zr 0.4351 0.7616 0.3068  6 O 2.01-2.16
Zr 0.5649 0.2384 0.6932  6 O 2.01-2.16
Zr 0.5649 0.2616 0.1932  6 O 2.01-2.16
Zr 0.9350 0.7357 0.6279  6 O 2.01-2.15
Zr 0.9350 0.7643 0.1279  6 O 2.01-2.15
Si 0.1590 0.7196 0.0668  4 O 1.63-1.65
Si 0.1590 0.7804 0.5668  4 O 1.63-1.65
Si 0.3406 0.2229 0.9083  4 O 1.63-1.65
Si 0.3406 0.2771 0.4083  4 O 1.63-1.65
Si 0.6594 0.7229 0.5917  4 O 1.63-1.65
Si 0.6594 0.7771 0.0917  4 O 1.63-1.65
Si 0.8410 0.2196 0.4332  4 O 1.63-1.65
Si 0.8410 0.2804 0.9332  4 O 1.63-1.65
O 0.0022 0.5249 0.7697  2 Zr 2.01-2.05
O 0.0022 0.9751 0.2697  2 Zr 2.01-2.05
O 0.0887 0.7009 0.6294  1 Si 1.64
O 0.0887 0.7991 0.1294  1 Si 1.64
O 0.1233 0.6002 0.4594  1 Si 1.63
O 0.1233 0.8998 0.9594  1 Si 1.63
O 0.1349 0.0709 0.5291  1 Si 1.65
O 0.1349 0.4291 0.0291  1 Si 1.65
O 0.2088 0.2228 0.3607  1 Si 1.64
O 0.2088 0.2772 0.8607  1 Si 1.64
O 0.2921 0.7490 0.1510  1 Si 1.64
O 0.2921 0.7510 0.6510  1 Si 1.64
O 0.3580 0.5684 0.3886  1 Si 1.65
O 0.3580 0.9316 0.8886  1 Si 1.65
O 0.3826 0.0979 0.3415  1 Si 1.63
O 0.3826 0.4021 0.8415  1 Si 1.63
O 0.4115 0.2139 0.5424  1 Si 1.64
O 0.4115 0.2861 0.0424  1 Si 1.64
O 0.4929 0.0332 0.7649  2 Zr 2.01-2.05
O 0.4929 0.4668 0.2649  2 Zr 2.01-2.05
O 0.5071 0.5332 0.7351  2 Zr 2.01-2.05
O 0.5071 0.9668 0.2351  2 Zr 2.01-2.05
O 0.5885 0.7139 0.9576  1 Si 1.64
O 0.5885 0.7861 0.4576  1 Si 1.64
O 0.6174 0.5979 0.1585  1 Si 1.63
O 0.6174 0.9021 0.6585  1 Si 1.63
O 0.6420 0.0684 0.1114  1 Si 1.65
O 0.6420 0.4316 0.6114  1 Si 1.65
O 0.7079 0.2490 0.3490  1 Si 1.64
O 0.7079 0.2510 0.8490  1 Si 1.64
O 0.7912 0.7228 0.1393  1 Si 1.64
O 0.7912 0.7772 0.6393  1 Si 1.64
O 0.8650 0.5709 0.9709  1 Si 1.65
O 0.8650 0.9291 0.4709  1 Si 1.65
O 0.8767 0.1002 0.0406  1 Si 1.63
O 0.8767 0.3998 0.5406  1 Si 1.63
O 0.9113 0.2009 0.8706  1 Si 1.64
O 0.9113 0.2991 0.3706  1 Si 1.64
O 0.9978 0.0249 0.7303  2 Zr 2.01-2.05
O 0.9978 0.4751 0.2303  2 Zr 2.01-2.05


DFT (PBEsol) results for an optimized crystal structure of Y3AsBr.

Computed properties:
Formation energy from raw total energies   -0.16 eV/atom
Total DFT energy (no corrections)   -5.6448 eV/atom
Space group   Pm-3m
Total magnetization   0.0 μB/f.u.

a = 5.1821 Å, b = 5.1821 Å, c = 5.1821 Å
α = 90.00°, β = 90.00°, γ = 90.00°
Closest atoms and distances in Å follow each position.
Fractional coordinates of all 5 atoms:
Y 0.0000 0.0000 0.5000  2 Br 2.59
Y 0.0000 0.5000 0.0000  2 Br 2.59
Y 0.5000 0.0000 0.0000  2 Br 2.59
As 0.5000 0.5000 0.5000  12 Y 3.66
Br 0.0000 0.0000 0.0000  6 Y 2.59


DFT (PBEsol) results for an optimized crystal structure of La2Ta.

Computed properties:
ΔH_f (0 K)   0.4222 eV/atom
Total DFT energy (no corrections)   -7.3257 eV/atom
Polymorph energy (0 for the lowest one)   40 meV per atom
Space group   C2/c
Total magnetization   0.0 μB/f.u.

a = 6.0448 Å, b = 6.0448 Å, c = 6.1723 Å
α = 120.41°, β = 120.41°, γ = 63.58°
Closest atoms and distances in Å follow each position.
Fractional coordinates of all 6 atoms:
La 0.0523 0.2951 0.1748  4 Ta 3.19-3.21, 5 La 3.26-3.45
La 0.2951 0.0523 0.6748  4 Ta 3.19-3.21, 5 La 3.26-3.45
La 0.7049 0.9477 0.3252  4 Ta 3.19-3.21, 5 La 3.26-3.45
La 0.9477 0.7049 0.8252  4 Ta 3.19-3.21, 5 La 3.26-3.45
Ta 0.4989 0.5011 0.2500  2 Ta 3.09, 8 La 3.19-3.21
Ta 0.5011 0.4989 0.7500  2 Ta 3.09, 8 La 3.19-3.21


DFT (PBEsol) results for an optimized crystal structure of AlCuSe2.

Computed properties:
Formation energy from raw total energies   0.31 eV/atom
Total DFT energy (no corrections)   -3.7241 eV/atom
Space group   F-43m
Total magnetization   0.0 μB/f.u.

a = 4.5956 Å, b = 4.5956 Å, c = 4.5956 Å
α = 60.00°, β = 60.00°, γ = 60.00°
Closest atoms and distances in Å follow each position.
Fractional coordinates of all 4 atoms:
Al 0.0000 0.0000 0.0000  4 Se 2.81, 4 Cu 2.81
Cu 0.2500 0.2500 0.2500  4 Se 2.81, 4 Al 2.81
Se 0.5000 0.5000 0.5000  4 Se 2.81, 4 Cu 2.81
Se 0.7500 0.7500 0.7500  4 Se 2.81, 4 Al 2.81


DFT (PBEsol) results for an optimized crystal structure of CaAl2Ir.

Computed properties:
ΔH_f (0 K)   -0.3158 eV/atom
Total DFT energy (no corrections)   -5.3507 eV/atom
Space group   P2/m
Total magnetization   0.0 μB/f.u.

a = 2.9832 Å, b = 4.2201 Å, c = 5.8858 Å
α = 90.00°, β = 104.37°, γ = 90.00°
Closest atoms and distances in Å follow each position.
Fractional coordinates of all 4 atoms:
Ca 0.0000 0.0000 0.0000  2 Ir 2.95, 2 Ca 2.98, 8 Al 3.07-3.12
Al 0.3334 0.5000 0.7014  2 Ir 2.53, 2 Al 2.69-2.79
Al 0.6666 0.5000 0.2986  2 Ir 2.53, 2 Al 2.69-2.79
Ir 0.5000 0.0000 0.5000  4 Al 2.53


DFT (PBEsol) results for an optimized crystal structure of MnBe2Hg.

Computed properties:
ΔH_f (0 K)   0.6316 eV/atom
Total DFT energy (no corrections)   -3.9504 eV/atom
Space group   I-42d
Total magnetization   2.6 μB/f.u.

a = 5.2001 Å, b = 5.2001 Å, c = 5.2001 Å
α = 104.34°, β = 104.34°, γ = 120.30°
Closest atoms and distances in Å follow each position.
Fractional coordinates of all 8 atoms:
Mn 0.0000 0.0000 0.0000  4 Be 2.30
Mn 0.7500 0.2500 0.5000  4 Be 2.30
Be 0.1138 0.6250 0.9888  2 Mn 2.30, 2 Hg 2.40
Be 0.3750 0.3638 0.4888  2 Mn 2.30, 2 Hg 2.40
Be 0.6362 0.1250 0.0112  2 Mn 2.30, 2 Hg 2.40
Be 0.8750 0.8862 0.5112  2 Mn 2.30, 2 Hg 2.40
Hg 0.2500 0.7500 0.5000  4 Be 2.40, 2 Mn 2.59
Hg 0.5000 0.5000 0.0000  4 Be 2.40, 2 Mn 2.59


DFT (PBEsol) results for an optimized crystal structure of Ag2WO4.

Computed properties:
Formation energy from raw total energies   -1.21 eV/atom
Total DFT energy (no corrections)   -7.1270 eV/atom
Space group   Pnnm
Total magnetization   0.0 μB/f.u.

a = 6.1855 Å, b = 9.9810 Å, c = 11.9015 Å
α = 90.00°, β = 90.00°, γ = 90.00°
Closest atoms and distances in Å follow each position.
Fractional coordinates of all 56 atoms:
Ag 0.0000 0.0000 0.0000  2 O 2.25
Ag 0.0000 0.0000 0.2675  2 O 2.09
Ag 0.0000 0.0000 0.7325  2 O 2.09
Ag 0.0000 0.5000 0.0000  2 O 2.13
Ag 0.0175 0.2471 0.1371  2 O 2.17-2.19
Ag 0.0175 0.2471 0.8629  2 O 2.17-2.19
Ag 0.4825 0.7471 0.3629  2 O 2.17-2.19
Ag 0.4825 0.7471 0.6371  2 O 2.17-2.19
Ag 0.5000 0.0000 0.5000  2 O 2.13
Ag 0.5000 0.5000 0.2325  2 O 2.09
Ag 0.5000 0.5000 0.5000  2 O 2.25
Ag 0.5000 0.5000 0.7675  2 O 2.09
Ag 0.5175 0.2529 0.3629  2 O 2.17-2.19
Ag 0.5175 0.2529 0.6371  2 O 2.17-2.19
Ag 0.9825 0.7529 0.1371  2 O 2.17-2.19
Ag 0.9825 0.7529 0.8629  2 O 2.17-2.19
W 0.0000 0.5000 0.3549  4 O 1.80-1.92
W 0.0000 0.5000 0.6451  4 O 1.80-1.92
W 0.0199 0.2208 0.5000  3 O 1.80-1.81
W 0.4801 0.7208 0.0000  3 O 1.80-1.81
W 0.5000 0.0000 0.1451  4 O 1.80-1.92
W 0.5000 0.0000 0.8549  4 O 1.80-1.92
W 0.5199 0.2792 0.0000  3 O 1.80-1.81
W 0.9801 0.7792 0.5000  3 O 1.80-1.81
O 0.1602 0.6599 0.3878  2 W 1.92-2.11
O 0.1602 0.6599 0.6122  2 W 1.92-2.11
O 0.1615 0.4173 0.5000  3 W 2.15-2.16, 1 Ag 2.25
O 0.1887 0.4243 0.2592  1 W 1.80
O 0.1887 0.4243 0.7408  1 W 1.80
O 0.1937 0.1734 0.3838  1 W 1.81
O 0.1937 0.1734 0.6162  1 W 1.81
O 0.1945 0.9007 0.5000  1 W 1.80
O 0.3055 0.4007 0.0000  1 W 1.80
O 0.3063 0.6734 0.1162  1 W 1.81
O 0.3063 0.6734 0.8838  1 W 1.81
O 0.3113 0.9243 0.2408  1 W 1.80
O 0.3113 0.9243 0.7592  1 W 1.80
O 0.3385 0.9173 0.0000  3 W 2.15-2.16, 1 Ag 2.25
O 0.3398 0.1599 0.1122  2 W 1.92-2.11
O 0.3398 0.1599 0.8878  2 W 1.92-2.11
O 0.6602 0.8401 0.1122  2 W 1.92-2.11
O 0.6602 0.8401 0.8878  2 W 1.92-2.11
O 0.6615 0.0827 0.0000  3 W 2.15-2.16, 1 Ag 2.25
O 0.6887 0.0757 0.2408  1 W 1.80
O 0.6887 0.0757 0.7592  1 W 1.80
O 0.6937 0.3266 0.1162  1 W 1.81
O 0.6937 0.3266 0.8838  1 W 1.81
O 0.6945 0.5993 0.0000  1 W 1.80
O 0.8055 0.0993 0.5000  1 W 1.80
O 0.8063 0.8266 0.3838  1 W 1.81
O 0.8063 0.8266 0.6162  1 W 1.81
O 0.8113 0.5757 0.2592  1 W 1.80
O 0.8113 0.5757 0.7408  1 W 1.80
O 0.8385 0.5827 0.5000  3 W 2.15-2.16, 1 Ag 2.25
O 0.8398 0.3401 0.3878  2 W 1.92-2.11
O 0.8398 0.3401 0.6122  2 W 1.92-2.11


DFT (PBEsol) results for an optimized crystal structure of CaCr2W.

Computed properties:
ΔH_f (0 K)   0.6534 eV/atom
Total DFT energy (no corrections)   -8.4527 eV/atom
Polymorph energy (0 for the lowest one)   0 meV per atom
Space group   P2/m
Total magnetization   0.0 μB/f.u.

a = 2.8040 Å, b = 4.0922 Å, c = 6.2006 Å
α = 90.00°, β = 96.97°, γ = 90.00°
Closest atoms and distances in Å follow each position.
Fractional coordinates of all 4 atoms:
Ca 0.0000 0.0000 0.0000  2 Ca 2.80, 4 Cr 3.03
Cr 0.1592 0.5000 0.6551  1 Cr 2.02
Cr 0.8408 0.5000 0.3449  1 Cr 2.02
W 0.5000 0.0000 0.5000  4 Cr 2.50


DFT (PBEsol) results for an optimized crystal structure of CrCdRu.

Computed properties:
ΔH_f (0 K)   0.2341 eV/atom
Total DFT energy (no corrections)   -6.9697 eV/atom
Space group   I4mm
Total magnetization   0.0 μB/f.u.

a = 5.7806 Å, b = 5.7806 Å, c = 5.7806 Å
α = 151.39°, β = 151.39°, γ = 40.91°
Closest atoms and distances in Å follow each position.
Fractional coordinates of all 3 atoms:
Cr 0.0000 0.0000 0.0000  4 Ru 2.40
Cd 0.6870 0.6870 0.0000  4 Cd 2.86, 4 Cr 2.86, 4 Ru 2.91
Ru 0.3809 0.3809 0.0000  4 Cr 2.40